Entry from the Alexandria database: crystalline ReP2OsO at its relaxed geometry (PBE-GGA).

Values from the calculation:
**Formation energy without anion corrections**: 0.645 eV per atom
**Symmetry**: P4/mmm, No. 123
**Energy relative to the lowest polymorph listed for this composition**: 0.0 meV/atom
**DFT total energy**: -7.246 eV/atom

a = 4.7266 Å, b = 4.7266 Å, c = 3.6326 Å
α = 90.00°, β = 90.00°, γ = 90.00°
Element x y z (fractional)
Re 0.0000 0.0000 0.0000
Os 0.5000 0.5000 0.5000
O 0.0000 0.0000 0.5000
P 0.0000 0.5000 0.0000
P 0.5000 0.0000 0.0000